The following is a PBE calculation of a geometry-optimized PtAuCl2 structure, from Alexandria.

Lattice parameters (Å, degrees): 3.204 3.561 6.521 90.00 90.00 90.00
Space group Pmmm (No. 47)
Inequivalent atoms, fractional coordinates:
Pt: 0.000 0.000 0.000 (multiplicity 1)
Au: 0.000 0.000 0.500 (multiplicity 1)
Cl: 0.500 0.500 0.237 (multiplicity 2)

Results
Final energy ... -2.601 eV/atom
Formation energy from raw total energies ... 0.65 eV/atom
Calculated density ... 10.33 g cm⁻³
D(E_F) ... 4.60 states/eV/cell
Distance to the lowest polymorph of the same formula ... 726 meV/atom
Volume ... 18.61 A^3/atom
Crystal system ... orthorhombic

***

The following is a PBE calculation of a geometry-optimized Pt2AuCl structure, from Alexandria.

Lattice parameters (Å, degrees): 2.859 5.094 9.777 90.00 90.00 90.00
Space group Imm2 (No. 44)
Inequivalent atoms, fractional coordinates:
Pt: 0.000 0.000 0.000 (multiplicity 2)
Pt: 0.000 0.500 0.273 (multiplicity 2)
Au: 0.000 0.000 0.514 (multiplicity 2)
Cl: 0.000 0.500 0.717 (multiplicity 2)

Results
Final energy ... -3.863 eV/atom
Formation energy from raw total energies ... 0.44 eV/atom
Calculated density ... 14.52 g cm⁻³
D(E_F) ... 6.72 states/eV/cell
Distance to the lowest polymorph of the same formula ... 253 meV/atom
Volume ... 17.80 A^3/atom
Crystal system ... orthorhombic

***

The following is a PBE calculation of a geometry-optimized Pt2AuCl structure, from Alexandria.

Lattice parameters (Å, degrees): 4.912 4.912 2.853 90.00 90.00 90.00
Space group P4/mmm (No. 123)
Inequivalent atoms, fractional coordinates:
Pt: 0.000 0.500 0.000 (multiplicity 2)
Au: 0.000 0.000 0.500 (multiplicity 1)
Cl: 0.500 0.500 0.500 (multiplicity 1)

Results
Final energy ... -3.738 eV/atom
Formation energy from raw total energies ... 0.56 eV/atom
Calculated density ... 15.02 g cm⁻³
D(E_F) ... 4.09 states/eV/cell
Distance to the lowest polymorph of the same formula ... 379 meV/atom
Volume ... 17.21 A^3/atom
Crystal system ... tetragonal

***

The following is a PBE calculation of a geometry-optimized Pt2AuCl structure, from Alexandria.

Lattice parameters (Å, degrees): 6.080 7.937 2.832 90.00 90.00 90.00
Space group Cmmm (No. 65)
Inequivalent atoms, fractional coordinates:
Pt: 0.250 0.250 0.000 (multiplicity 4)
Au: 0.000 0.000 0.500 (multiplicity 2)
Cl: 0.000 0.500 0.500 (multiplicity 2)

Results
Final energy ... -3.746 eV/atom
Formation energy from raw total energies ... 0.56 eV/atom
Calculated density ... 15.13 g cm⁻³
D(E_F) ... 8.25 states/eV/cell
Distance to the lowest polymorph of the same formula ... 371 meV/atom
Volume ... 17.08 A^3/atom
Crystal system ... orthorhombic

***

The following is a PBE calculation of a geometry-optimized PtAu3Cl structure, from Alexandria.

Lattice parameters (Å, degrees): 5.107 5.107 5.107 90.00 90.00 90.00
Space group Pm-3m (No. 221)
Inequivalent atoms, fractional coordinates:
Pt: 0.000 0.000 0.000 (multiplicity 1)
Au: 0.000 0.000 0.500 (multiplicity 3)
Cl: 0.500 0.500 0.500 (multiplicity 1)

Results
Final energy ... -2.737 eV/atom
Formation energy from raw total energies ... 0.81 eV/atom
Calculated density ... 10.24 g cm⁻³
D(E_F) ... 2.81 states/eV/cell
Distance to the lowest polymorph of the same formula ... 0 meV/atom
Volume ... 26.64 A^3/atom
Crystal system ... cubic

***

The following is a PBE calculation of a geometry-optimized Pt2AuCl structure, from Alexandria.

Lattice parameters (Å, degrees): 4.596 4.596 6.518 90.00 90.00 90.00
Space group I-4m2 (No. 119)
Inequivalent atoms, fractional coordinates:
Pt: 0.000 0.000 0.000 (multiplicity 2)
Pt: 0.000 0.500 0.250 (multiplicity 2)
Au: 0.000 0.500 0.750 (multiplicity 2)
Cl: 0.000 0.000 0.500 (multiplicity 2)

Results
Final energy ... -3.719 eV/atom
Formation energy from raw total energies ... 0.58 eV/atom
Calculated density ... 15.02 g cm⁻³
D(E_F) ... 14.14 states/eV/cell
Distance to the lowest polymorph of the same formula ... 397 meV/atom
Volume ... 17.21 A^3/atom
Crystal system ... tetragonal

***

The following is a PBE calculation of a geometry-optimized PtAuCl2 structure, from Alexandria.

Lattice parameters (Å, degrees): 8.530 8.530 5.337 90.00 90.00 90.00
Space group I-42d (No. 122)
Inequivalent atoms, fractional coordinates:
Pt: 0.000 0.000 0.000 (multiplicity 4)
Au: 0.000 0.000 0.500 (multiplicity 4)
Cl: 0.108 0.250 0.125 (multiplicity 8)

Results
Final energy ... -3.059 eV/atom
Formation energy from raw total energies ... 0.19 eV/atom
Calculated density ... 7.92 g cm⁻³
D(E_F) ... 4.01 states/eV/cell
Distance to the lowest polymorph of the same formula ... 269 meV/atom
Volume ... 24.27 A^3/atom
Crystal system ... tetragonal

***

The following is a PBE calculation of a geometry-optimized Pt2AuCl structure, from Alexandria.

Lattice parameters (Å, degrees): 2.888 5.232 9.230 90.00 90.00 90.00
Space group Cmm2 (No. 35)
Inequivalent atoms, fractional coordinates:
Pt: 0.000 0.000 0.000 (multiplicity 2)
Pt: 0.000 0.500 0.240 (multiplicity 2)
Au: 0.000 0.000 0.500 (multiplicity 2)
Cl: 0.000 0.500 0.779 (multiplicity 2)

Results
Final energy ... -4.038 eV/atom
Formation energy from raw total energies ... 0.26 eV/atom
Calculated density ... 14.83 g cm⁻³
D(E_F) ... 7.65 states/eV/cell
Distance to the lowest polymorph of the same formula ... 79 meV/atom
Volume ... 17.43 A^3/atom
Crystal system ... orthorhombic

***

The following is a PBE calculation of a geometry-optimized PtAuCl2 structure, from Alexandria.

Lattice parameters (Å, degrees): 3.212 5.983 9.978 90.00 90.00 90.00
Space group Cmmm (No. 65)
Inequivalent atoms, fractional coordinates:
Pt: 0.000 0.000 0.000 (multiplicity 2)
Au: 0.000 0.000 0.500 (multiplicity 2)
Cl: 0.000 0.500 0.169 (multiplicity 4)

Results
Final energy ... -3.066 eV/atom
Formation energy from raw total energies ... 0.19 eV/atom
Calculated density ... 8.02 g cm⁻³
D(E_F) ... 2.30 states/eV/cell
Distance to the lowest polymorph of the same formula ... 262 meV/atom
Volume ... 23.97 A^3/atom
Crystal system ... orthorhombic

***

The following is a PBE calculation of a geometry-optimized Pt2AuCl structure, from Alexandria.

Lattice parameters (Å, degrees): 6.489 6.489 6.489 90.00 90.00 90.00
Space group Fm-3m (No. 225)
Inequivalent atoms, fractional coordinates:
Pt: 0.250 0.250 0.250 (multiplicity 8)
Au: 0.000 0.000 0.000 (multiplicity 4)
Cl: 0.000 0.000 0.500 (multiplicity 4)

Results
Final energy ... -3.678 eV/atom
Formation energy from raw total energies ... 0.62 eV/atom
Calculated density ... 15.13 g cm⁻³
D(E_F) ... 21.21 states/eV/cell
Distance to the lowest polymorph of the same formula ... 438 meV/atom
Volume ... 17.08 A^3/atom
Crystal system ... cubic

***

The following is a PBE calculation of a geometry-optimized PtAuCl2 structure, from Alexandria.

Lattice parameters (Å, degrees): 6.285 8.139 3.195 90.00 91.99 90.00
Space group C2/m (No. 12)
Inequivalent atoms, fractional coordinates:
Pt: 0.000 0.000 0.000 (multiplicity 2)
Au: 0.000 0.500 0.000 (multiplicity 2)
Cl: 0.250 0.250 0.000 (multiplicity 4)

Results
Final energy ... -2.936 eV/atom
Formation energy from raw total energies ... 0.32 eV/atom
Calculated density ... 9.41 g cm⁻³
D(E_F) ... 2.46 states/eV/cell
Distance to the lowest polymorph of the same formula ... 391 meV/atom
Volume ... 20.42 A^3/atom
Crystal system ... monoclinic

***

The following is a PBE calculation of a geometry-optimized PtAuCl2 structure, from Alexandria.

Lattice parameters (Å, degrees): 2.9374 2.9374 35.5246 90.00 90.00 120.00
Space group R-3m (No. 166, hexagonal axes)
Inequivalent atoms, fractional coordinates:
Pt: 0.0000 0.0000 0.0000 (multiplicity 3)
Au: 0.0000 0.0000 0.5000 (multiplicity 3)
Cl: 0.0000 0.0000 0.0632 (multiplicity 6)

Results
Final energy ... -3.109 eV/atom
Formation energy from raw total energies ... 0.14 eV/atom
Calculated density ... 8.69 g cm⁻³
D(E_F) ... 7.78 states/eV/cell
Distance to the lowest polymorph of the same formula ... 219 meV/atom
Volume ... 22.12 A^3/atom
Crystal system ... trigonal

***

The following is a PBE calculation of a geometry-optimized PtAuCl2 structure, from Alexandria.

Lattice parameters (Å, degrees): 3.056 4.138 6.341 90.00 90.00 90.00
Space group Pmmm (No. 47)
Inequivalent atoms, fractional coordinates:
Pt: 0.000 0.000 0.000 (multiplicity 1)
Au: 0.500 0.000 0.500 (multiplicity 1)
Cl: 0.000 0.500 0.500 (multiplicity 1)
Cl: 0.500 0.500 0.000 (multiplicity 1)

Results
Final energy ... -2.903 eV/atom
Formation energy from raw total energies ... 0.35 eV/atom
Calculated density ... 9.59 g cm⁻³
D(E_F) ... 2.09 states/eV/cell
Distance to the lowest polymorph of the same formula ... 425 meV/atom
Volume ... 20.04 A^3/atom
Crystal system ... orthorhombic

***

The following is a PBE calculation of a geometry-optimized Pt2AuCl structure, from Alexandria.

Lattice parameters (Å, degrees): 2.899 5.197 9.004 90.00 90.00 90.00
Space group Cmmm (No. 65)
Inequivalent atoms, fractional coordinates:
Pt: 0.000 0.000 0.241 (multiplicity 4)
Au: 0.000 0.500 0.500 (multiplicity 2)
Cl: 0.000 0.500 0.000 (multiplicity 2)

Results
Final energy ... -3.969 eV/atom
Formation energy from raw total energies ... 0.33 eV/atom
Calculated density ... 15.24 g cm⁻³
D(E_F) ... 8.05 states/eV/cell
Distance to the lowest polymorph of the same formula ... 147 meV/atom
Volume ... 16.95 A^3/atom
Crystal system ... orthorhombic